1.
Here is crystalline Na12Tl5Hg2 at its relaxed geometry from Alexandria via LeMat-Bulk. Energies are from PBE.

extended XYZ file:
```
19
Lattice="7.587 -4.692 0.000 7.587 4.692 0.000 -0.247 0.000 7.860" Properties=species:S:1:pos:R:3 pbc="T T T"
Na 0.721 0.000 2.426
Na 5.564 2.747 2.589
Na 5.059 1.747 5.959
Na 9.362 2.747 5.271
Na 6.243 0.000 0.924
Na 9.868 1.747 1.901
Na 5.059 -1.747 5.959
Na 8.683 0.000 6.936
Na 5.564 -2.747 2.589
Na 9.868 -1.747 1.901
Na 9.362 -2.747 5.271
Na 14.206 0.000 5.434
Tl 2.990 0.000 0.026
Tl 3.821 0.000 3.318
Tl 7.463 0.000 3.930
Tl 11.105 0.000 4.543
Tl 11.936 0.000 7.834
Hg 7.587 2.877 0.000
Hg 7.587 -2.877 0.000
```

Formation energy: -0.09 eV/atom
Spin magnetization: 0.0 μB/cell
Crystal system: monoclinic
SG: No. 12
VASP energy: -0.0581 hartree per atom
Polymorph energy (0 for the lowest one): 25 meV per atom

2.
Here is crystalline Na12TlHg3 at its relaxed geometry from Alexandria via LeMat-Bulk. Energies are from PBE.

extended XYZ file:
```
16
Lattice="4.853 0.000 0.000 0.000 4.853 0.000 0.000 0.000 19.930" Properties=species:S:1:pos:R:3 pbc="T T T"
Na 0.000 0.000 0.000
Na 0.000 0.000 4.882
Na 0.000 0.000 9.965
Na 0.000 0.000 15.049
Na 0.000 2.427 2.444
Na 0.000 2.427 7.352
Na 0.000 2.427 12.579
Na 0.000 2.427 17.487
Na 2.427 0.000 2.444
Na 2.427 0.000 7.352
Na 2.427 0.000 12.579
Na 2.427 0.000 17.487
Tl 2.427 2.427 9.965
Hg 2.427 2.427 0.000
Hg 2.427 2.427 4.941
Hg 2.427 2.427 14.990
```

Formation energy: -0.12 eV/atom
Spin magnetization: 0.0 μB/cell
Crystal system: tetragonal
SG: No. 123
VASP energy: -0.0484 hartree per atom

3.
Here is crystalline Na9Tl4Hg at its relaxed geometry from Alexandria via LeMat-Bulk. Energies are from PBE.

extended XYZ file:
```
28
Lattice="10.070 0.000 0.000 -5.035 8.720 0.000 0.000 0.000 10.125" Properties=species:S:1:pos:R:3 pbc="T T T"
Na -1.984 4.668 2.531
Na 0.000 3.418 5.628
Na 0.000 3.418 9.559
Na -2.075 7.011 5.628
Na -2.075 7.011 9.559
Na 2.960 1.709 0.566
Na 2.960 1.709 4.497
Na 1.984 4.668 2.531
Na 0.000 8.104 2.531
Na 5.035 0.616 7.594
Na 3.051 4.052 7.594
Na 2.075 7.011 5.628
Na 2.075 7.011 9.559
Na 7.109 1.709 0.566
Na 7.109 1.709 4.497
Na 5.035 5.302 0.566
Na 5.035 5.302 4.497
Na 7.019 4.052 7.594
Tl 0.000 0.000 0.000
Tl 0.000 0.000 5.062
Tl 0.000 2.033 2.531
Tl -3.274 7.704 2.531
Tl 1.760 1.016 7.594
Tl 3.274 7.704 2.531
Tl 8.309 1.016 7.594
Tl 5.035 6.688 7.594
Hg 0.000 5.814 7.594
Hg 5.035 2.907 2.531
```

Formation energy: -0.11 eV/atom
Spin magnetization: 0.0 μB/cell
Crystal system: hexagonal
SG: No. 194
VASP energy: -0.0608 hartree per atom

4.
Here is crystalline NaTl4Hg2 at its relaxed geometry from Alexandria via LeMat-Bulk. Energies are from PBE.

extended XYZ file:
```
7
Lattice="2.759 -10.782 0.000 2.759 10.782 0.000 0.000 0.000 3.437" Properties=species:S:1:pos:R:3 pbc="T T T"
Na 0.000 0.000 0.000
Tl 2.759 7.703 1.718
Tl 2.759 4.492 0.000
Tl 2.759 -4.492 0.000
Tl 2.759 -7.703 1.718
Hg 2.759 1.487 1.718
Hg 2.759 -1.487 1.718
```

Formation energy: -0.07 eV/atom
Spin magnetization: 0.0 μB/cell
Crystal system: orthorhombic
SG: No. 65
VASP energy: -0.0622 hartree per atom
Polymorph energy (0 for the lowest one): 0 meV per atom

5.
Here is crystalline Na2Tl15Hg2 at its relaxed geometry from Alexandria via LeMat-Bulk. Energies are from PBE.

extended XYZ file:
```
19
Lattice="5.565 3.213 5.818 -5.565 3.213 5.818 0.000 -6.425 5.818" Properties=species:S:1:pos:R:3 pbc="T T T"
Na 0.000 0.000 1.718
Na 0.000 0.000 15.735
Tl -5.565 0.000 8.726
Tl -1.603 -3.649 5.818
Tl -2.782 1.606 2.909
Tl -3.962 0.436 5.818
Tl -2.605 -1.504 8.047
Tl 1.603 -3.649 5.818
Tl -2.359 3.213 5.818
Tl 0.000 -3.008 9.405
Tl -2.605 1.504 9.405
Tl 2.782 1.606 2.909
Tl 2.605 -1.504 8.047
Tl 0.000 3.008 8.047
Tl 3.962 0.436 5.818
Tl 2.359 3.213 5.818
Tl 2.605 1.504 9.405
Hg 0.000 0.000 4.814
Hg 0.000 0.000 12.638
```

Formation energy: 0.07 eV/atom
Spin magnetization: 0.0 μB/cell
Crystal system: trigonal
SG: No. 166
VASP energy: -0.0724 hartree per atom

6.
Here is crystalline NaTl4Hg at its relaxed geometry from Alexandria via LeMat-Bulk. Energies are from PBE.

extended XYZ file:
```
12
Lattice="4.419 -3.357 0.000 4.419 3.357 0.000 -2.349 0.000 12.594" Properties=species:S:1:pos:R:3 pbc="T T T"
Na 1.459 0.000 2.243
Na 5.030 0.000 10.351
Tl 2.154 1.681 5.105
Tl -0.463 0.000 10.688
Tl 4.419 1.530 0.000
Tl 4.335 1.681 7.489
Tl 2.154 -1.681 5.105
Tl 4.419 -1.530 0.000
Tl 6.951 0.000 1.906
Tl 4.335 -1.681 7.489
Hg 2.212 0.000 9.210
Hg 4.276 0.000 3.384
```

Formation energy: 0.01 eV/atom
Spin magnetization: 0.0 μB/cell
Crystal system: monoclinic
SG: No. 12
VASP energy: -0.0676 hartree per atom
Polymorph energy (0 for the lowest one): 39 meV per atom

Q: Which of these has the highest formation energy?
A: Na2Tl15Hg2

Q: Among the records above, which one has the lowest formation energy?
A: Na12TlHg3